Entry 1
Entry from the Alexandria database: an optimized crystal structure of LiAgBr (PBE).

Values from the calculation:
DOS at the Fermi energy in states/eV/cell: 1.427
Symmetry: F-43m, No. 216
Theoretical density in g cm⁻³: 4.7

Lattice parameters (Å, degrees): 4.586 4.586 4.586 60.00 60.00 60.00
Element x y z (fractional)
Br 0.500 0.500 0.500
Ag 0.000 0.000 0.000
Li 0.750 0.750 0.750

Entry 2
Entry from the Alexandria database: an optimized crystal structure of LiAgBr (PBE).

Values from the calculation:
DOS at the Fermi energy in states/eV/cell: 0.854
Symmetry: P3m1, No. 156
Theoretical density in g cm⁻³: 4.8

Lattice parameters (Å, degrees): 3.564 3.564 6.103 90.00 90.00 120.00
Element x y z (fractional)
Li 0.333 0.667 0.615
Br 0.667 0.333 0.388
Ag 0.000 0.000 0.996

Entry 3
Entry from the Alexandria database: an optimized crystal structure of LiAgBr (PBE).

Values from the calculation:
DOS at the Fermi energy in states/eV/cell: 0.216
Symmetry: F-43m, No. 216
Theoretical density in g cm⁻³: 4.3

Lattice parameters (Å, degrees): 4.740 4.740 4.740 60.00 60.00 60.00
Element x y z (fractional)
Ag 0.750 0.750 0.750
Br 0.000 0.000 0.000
Li 0.500 0.500 0.500

Entry 4
Entry from the Alexandria database: an optimized crystal structure of LiAgBr (PBE).

Values from the calculation:
DOS at the Fermi energy in states/eV/cell: 0.537
Symmetry: I4mm, No. 107
Theoretical density in g cm⁻³: 4.3

Lattice parameters (Å, degrees): 6.868 6.869 3.418 75.59 75.60 28.81
Element x y z (fractional)
Br 0.733 0.733 0.267
Ag 0.972 0.972 0.028
Li 0.295 0.295 0.705

Top of the stability list: entry 2, leading by 0.5 kJ/mol of atoms.